1.
5
Lattice="5.2019 0.0000 0.0000 0.0000 5.2019 0.0000 0.0000 0.0000 5.2019" Properties=species:S:1:pos:R:3 comment="HfPbSe3, single point on PBEsol structure, DFT SCAN" formation_energy_uncorrected_ev_per_atom=0.74 final_energy_ev_per_atom=-39.001 spacegroup="Pm-3m, No. 221" pbc="T T T"
Se 0.0000 2.6009 0.0000
Se 0.0000 0.0000 2.6009
Se 2.6009 0.0000 0.0000
Hf 2.6009 2.6009 2.6009
Pb 0.0000 0.0000 0.0000


2.
4
Lattice="-1.1307 2.9599 -1.7096 -2.2329 -0.2862 -2.8097 -8.4143 1.4217 4.2353" Properties=species:S:1:pos:R:3 comment="HfPbSe2, single point on PBEsol structure, DFT SCAN" formation_energy_uncorrected_ev_per_atom=-1.03 final_energy_ev_per_atom=-45.687 spacegroup="R-3m, No. 166" pbc="T T T"
Se -6.0507 1.2498 2.3745
Se -5.7271 2.8456 -2.6586
Pb 0.0000 0.0000 0.0000
Hf -5.8889 2.0477 -0.1420


3.
8
Lattice="6.1345 0.0000 0.0000 0.0000 6.1345 0.0000 -3.0672 -3.0672 6.0835" Properties=species:S:1:pos:R:3 comment="HfSi2Pb, single point on PBEsol structure, DFT SCAN" formation_energy_uncorrected_ev_per_atom=0.55 final_energy_ev_per_atom=-39.068 spacegroup="I-42d, No. 122" pbc="T T T"
Pb 0.0000 3.0672 3.0418
Pb 0.0000 0.0000 0.0000
Si 1.5959 4.6009 1.5209
Si 1.5336 1.4714 4.5627
Si 4.5386 1.5336 1.5209
Si -1.5336 -1.4714 4.5627
Hf 3.0672 0.0000 3.0418
Hf 3.0672 3.0672 0.0000


4.
5
Lattice="5.7283 0.0000 0.0000 0.0000 5.7283 0.0000 0.0000 0.0000 5.7283" Properties=species:S:1:pos:R:3 comment="HfTePb3, single point on PBEsol structure, DFT SCAN" formation_energy_uncorrected_ev_per_atom=1.18 final_energy_ev_per_atom=-64.273 spacegroup="Pm-3m, No. 221" pbc="T T T"
Hf 2.8642 2.8642 2.8642
Pb 0.0000 0.0000 2.8642
Pb 0.0000 2.8642 0.0000
Pb 2.8642 0.0000 0.0000
Te 0.0000 0.0000 0.0000


5.
4
Lattice="-3.5503 -1.2822 3.3444 1.2555 -0.8478 4.8102 -1.3879 3.2676 3.5818" Properties=species:S:1:pos:R:3 comment="HfZrPb2, single point on PBEsol structure, DFT SCAN" final_energy_ev_per_atom=-61.253 ef_ev_per_atom=-0.0191 spacegroup="Fm-3m, No. 225" pbc="T T T"
Zr 0.0000 0.0000 0.0000
Pb -0.9206 0.2844 2.9341
Pb -2.7619 0.8533 8.8023
Hf -1.8413 0.5689 5.8682


6.
10
Lattice="-3.1174 1.5678 -1.6706 -2.7518 -7.0222 -1.4551 -3.6220 0.0158 6.7736" Properties=species:S:1:pos:R:3 comment="HfZr2Pb2, single point on PBEsol structure, DFT SCAN" final_energy_ev_per_atom=-55.455 ef_ev_per_atom=-0.3287 spacegroup="P4/mbm, No. 127" pbc="T T T"
Hf -3.1869 -3.5032 2.6592
Hf 0.0000 0.0000 0.0000
Pb -4.1033 -2.5119 5.2995
Pb -4.6849 -6.0264 3.0867
Pb -2.2705 -4.4945 0.0190
Pb -1.6889 -0.9800 2.2318
Zr -4.4068 -0.3482 3.4169
Zr -6.4150 -3.8566 3.8718
Zr -5.0844 -5.0903 0.2310
Zr -3.0762 -1.5820 -0.2239


7.
3
Lattice="3.3750 0.0000 0.0000 0.0000 3.3750 0.0000 -1.6875 -1.6875 4.3106" Properties=species:S:1:pos:R:3 comment="HfPd2, single point on PBEsol structure, DFT SCAN" final_energy_ev_per_atom=-43.631 ef_ev_per_atom=-0.8907 spacegroup="I4/mmm, No. 139" pbc="T T T"
Hf 0.0000 0.0000 0.0000
Pd 0.0000 0.0000 2.9175
Pd 1.6875 1.6875 1.3931


8.
5
Lattice="-2.5500 2.1686 -3.1330 1.4088 -3.2969 -3.4286 -3.8745 -2.8696 1.1673" Properties=species:S:1:pos:R:3 comment="Hf2TaPdPt, single point on PBEsol structure, DFT SCAN" final_energy_ev_per_atom=-57.918 ef_ev_per_atom=1.0610 spacegroup="P4/mmm, No. 123" pbc="T T T"
Hf 0.7044 -1.6484 -1.7143
Hf -1.9373 -1.4348 0.5837
Ta 0.0000 0.0000 0.0000
Pd -1.2750 1.0843 -1.5665
Pt -2.5079 -1.9990 -2.6971